Material: Ho3In3Ag2
Method: DFT, PBE
State: relaxed

Geometry as CIF:
```
data_Ho3In3Ag2
_chemical_formula_sum 'Ho3 In3 Ag2'
_cell_length_a 3.7545
_cell_length_b 7.7824
_cell_length_c 7.7824
_cell_angle_alpha 120.00
_cell_angle_beta 90.00
_cell_angle_gamma 90.00
_space_group_name_H-M_alt 'P 1'
_space_group_IT_number 1
loop_
_space_group_symop_operation_xyz
'x,y,z'
loop_
_atom_site_label
_atom_site_type_symbol
_atom_site_fract_x
_atom_site_fract_y
_atom_site_fract_z
Ho1 Ho 0.5000 0.4029 0.4029
Ho2 Ho 0.5000 0.5971 0.0000
Ho3 Ho 0.5000 0.0000 0.5971
In1 In 0.0000 0.7608 0.7608
In2 In 0.0000 0.2392 0.0000
In3 In 0.0000 0.0000 0.2392
Ag1 Ag 0.0000 0.3333 0.6667
Ag2 Ag 0.0000 0.6667 0.3333
```

Output
ΔH_f (0 K) ... -0.40 eV/atom
Space group ... P-62m, No. 189
Final energy ... -30.815 eV for the cell shown
Magnetization ... 0.00 Bohr magnetons per cell

Material: HoIn2Ag8
Method: DFT, PBE
State: relaxed

Geometry as CIF:
```
data_HoIn2Ag8
_chemical_formula_sum 'Ho1 In2 Ag8'
_cell_length_a 4.2408
_cell_length_b 6.8700
_cell_length_c 8.0127
_cell_angle_alpha 105.06
_cell_angle_beta 105.35
_cell_angle_gamma 90.00
_space_group_name_H-M_alt 'P 1'
_space_group_IT_number 1
loop_
_space_group_symop_operation_xyz
'x,y,z'
loop_
_atom_site_label
_atom_site_type_symbol
_atom_site_fract_x
_atom_site_fract_y
_atom_site_fract_z
Ho1 Ho 0.5000 0.0000 0.0000
In1 In 0.7731 0.3484 0.5462
In2 In 0.2269 0.6516 0.4538
Ag1 Ag 0.4094 0.5352 0.8187
Ag2 Ag 0.6817 0.9112 0.3634
Ag3 Ag 0.8628 0.8064 0.7257
Ag4 Ag 0.9558 0.2777 0.9115
Ag5 Ag 0.1372 0.1936 0.2743
Ag6 Ag 0.3183 0.0888 0.6366
Ag7 Ag 0.5906 0.4648 0.1813
Ag8 Ag 0.0442 0.7223 0.0885
```

Output
ΔH_f (0 K) ... -0.08 eV/atom
Space group ... C2/m, No. 12
Final energy ... -33.747 eV for the cell shown
Magnetization ... 0.00 Bohr magnetons per cell

Material: Ho4In2Ag
Method: DFT, PBE
State: relaxed

Geometry as CIF:
```
data_Ho4In2Ag
_chemical_formula_sum 'Ho4 In2 Ag1'
_cell_length_a 5.2014
_cell_length_b 5.2014
_cell_length_c 8.9765
_cell_angle_alpha 73.16
_cell_angle_beta 73.16
_cell_angle_gamma 60.00
_space_group_name_H-M_alt 'P 1'
_space_group_IT_number 1
loop_
_space_group_symop_operation_xyz
'x,y,z'
loop_
_atom_site_label
_atom_site_type_symbol
_atom_site_fract_x
_atom_site_fract_y
_atom_site_fract_z
Ho1 Ho 0.8739 0.8739 0.3782
Ho2 Ho 0.1261 0.1261 0.6218
Ho3 Ho 0.6232 0.6232 0.1303
Ho4 Ho 0.3768 0.3768 0.8697
Ag1 Ag 0.0000 0.0000 0.0000
In1 In 0.7510 0.7510 0.7470
In2 In 0.2490 0.2490 0.2530
```

Output
ΔH_f (0 K) ... -0.27 eV/atom
Space group ... R-3m, No. 166
Final energy ... -28.495 eV for the cell shown
Magnetization ... 0.00 Bohr magnetons per cell

Material: Ho2In2Ag3
Method: DFT, PBE
State: relaxed

Geometry as CIF:
```
data_Ho2In2Ag3
_chemical_formula_sum 'Ho2 In2 Ag3'
_cell_length_a 3.3746
_cell_length_b 4.5328
_cell_length_c 10.7666
_cell_angle_alpha 102.15
_cell_angle_beta 90.00
_cell_angle_gamma 90.00
_space_group_name_H-M_alt 'P 1'
_space_group_IT_number 1
loop_
_space_group_symop_operation_xyz
'x,y,z'
loop_
_atom_site_label
_atom_site_type_symbol
_atom_site_fract_x
_atom_site_fract_y
_atom_site_fract_z
Ho1 Ho 0.0000 0.8569 0.7137
Ho2 Ho 0.0000 0.1431 0.2863
In1 In 0.5000 0.7090 0.4180
In2 In 0.5000 0.2910 0.5820
Ag1 Ag 0.5000 0.5657 0.1314
Ag2 Ag 0.5000 0.4343 0.8686
Ag3 Ag 0.0000 0.0000 0.0000
```

Output
ΔH_f (0 K) ... -0.18 eV/atom
Space group ... Cmmm, No. 65
Final energy ... -24.432 eV for the cell shown
Magnetization ... 0.00 Bohr magnetons per cell

Material: Ho6In3Ag
Method: DFT, PBE
State: relaxed

Geometry as CIF:
```
data_Ho6In3Ag
_chemical_formula_sum 'Ho12 In6 Ag2'
_cell_length_a 5.2874
_cell_length_b 9.2298
_cell_length_c 11.6049
_cell_angle_alpha 108.71
_cell_angle_beta 90.00
_cell_angle_gamma 90.00
_space_group_name_H-M_alt 'P 1'
_space_group_IT_number 1
loop_
_space_group_symop_operation_xyz
'x,y,z'
loop_
_atom_site_label
_atom_site_type_symbol
_atom_site_fract_x
_atom_site_fract_y
_atom_site_fract_z
Ho1 Ho 0.2500 0.4602 0.0842
Ho2 Ho 0.7500 0.5398 0.9158
Ho3 Ho 0.2500 0.1365 0.1637
Ho4 Ho 0.7500 0.8635 0.8363
Ho5 Ho 0.2500 0.6698 0.6713
Ho6 Ho 0.7500 0.3302 0.3287
Ho7 Ho 0.2500 0.2382 0.4954
Ho8 Ho 0.7500 0.7618 0.5046
Ho9 Ho 0.2500 0.8451 0.3090
Ho10 Ho 0.7500 0.1549 0.6910
Ho11 Ho 0.2500 0.0962 0.8706
Ho12 Ho 0.7500 0.9038 0.1294
In1 In 0.2500 0.5263 0.3787
In2 In 0.7500 0.4737 0.6213
In3 In 0.2500 0.3813 0.7827
In4 In 0.7500 0.6187 0.2173
In5 In 0.2500 0.7770 0.9722
In6 In 0.7500 0.2230 0.0278
Ag1 Ag 0.2500 0.9587 0.6000
Ag2 Ag 0.7500 0.0413 0.4000
```

Output
ΔH_f (0 K) ... -0.32 eV/atom
Space group ... P2_1/m, No. 11
Final energy ... -83.480 eV for the cell shown
Magnetization ... 0.00 Bohr magnetons per cell

Material: Ho2InAg
Method: DFT, PBE
State: relaxed

Geometry as CIF:
```
data_Ho2InAg
_chemical_formula_sum 'Ho2 In1 Ag1'
_cell_length_a 5.2283
_cell_length_b 5.2283
_cell_length_c 5.2283
_cell_angle_alpha 60.00
_cell_angle_beta 60.00
_cell_angle_gamma 60.00
_space_group_name_H-M_alt 'P 1'
_space_group_IT_number 1
loop_
_space_group_symop_operation_xyz
'x,y,z'
loop_
_atom_site_label
_atom_site_type_symbol
_atom_site_fract_x
_atom_site_fract_y
_atom_site_fract_z
Ho1 Ho 0.7500 0.7500 0.7500
Ho2 Ho 0.2500 0.2500 0.2500
Ag1 Ag 0.0000 0.0000 0.0000
In1 In 0.5000 0.5000 0.5000
```

Output
ΔH_f (0 K) ... -0.40 eV/atom
Space group ... Fm-3m, No. 225
Final energy ... -16.336 eV for the cell shown
Magnetization ... 0.00 Bohr magnetons per cell

Material: Ho3InAg
Method: DFT, PBE
State: relaxed

Geometry as CIF:
```
data_Ho3InAg
_chemical_formula_sum 'Ho6 In2 Ag2'
_cell_length_a 5.0936
_cell_length_b 5.0924
_cell_length_c 10.6130
_cell_angle_alpha 90.00
_cell_angle_beta 76.12
_cell_angle_gamma 90.00
_space_group_name_H-M_alt 'P 1'
_space_group_IT_number 1
loop_
_space_group_symop_operation_xyz
'x,y,z'
loop_
_atom_site_label
_atom_site_type_symbol
_atom_site_fract_x
_atom_site_fract_y
_atom_site_fract_z
Ho1 Ho 0.7635 0.2500 0.1213
Ho2 Ho 0.3862 0.2500 0.8759
Ho3 Ho 0.5746 0.2500 0.4992
Ho4 Ho 0.2621 0.7500 0.1241
Ho5 Ho 0.8848 0.7500 0.8787
Ho6 Ho 0.0738 0.7500 0.5008
In1 In 0.6678 0.7500 0.3127
In2 In 0.9805 0.2500 0.6873
Ag1 Ag 0.4831 0.7500 0.6822
Ag2 Ag 0.1652 0.2500 0.3178
```

Output
ΔH_f (0 K) ... -0.29 eV/atom
Space group ... Cmcm, No. 63
Final energy ... -41.538 eV for the cell shown
Magnetization ... 0.00 Bohr magnetons per cell

Material: Ho3InAg
Method: DFT, PBE
State: relaxed

Geometry as CIF:
```
data_Ho3InAg
_chemical_formula_sum 'Ho12 In4 Ag4'
_cell_length_a 6.7114
_cell_length_b 6.7114
_cell_length_c 14.5691
_cell_angle_alpha 84.41
_cell_angle_beta 84.41
_cell_angle_gamma 56.72
_space_group_name_H-M_alt 'P 1'
_space_group_IT_number 1
loop_
_space_group_symop_operation_xyz
'x,y,z'
loop_
_atom_site_label
_atom_site_type_symbol
_atom_site_fract_x
_atom_site_fract_y
_atom_site_fract_z
Ho1 Ho 0.6521 0.0131 0.7955
Ho2 Ho 0.9869 0.3479 0.7045
Ho3 Ho 0.3479 0.9869 0.2045
Ho4 Ho 0.0131 0.6521 0.2955
Ho5 Ho 0.5290 0.8530 0.5992
Ho6 Ho 0.1470 0.4710 0.9008
Ho7 Ho 0.4710 0.1470 0.4008
Ho8 Ho 0.8530 0.5290 0.0992
Ho9 Ho 0.1838 0.9451 0.8928
Ho10 Ho 0.0549 0.8162 0.6072
Ho11 Ho 0.9451 0.1838 0.3928
Ho12 Ho 0.8162 0.0549 0.1072
In1 In 0.6848 0.4270 0.9126
In2 In 0.5730 0.3152 0.5874
In3 In 0.3152 0.5730 0.0874
In4 In 0.4270 0.6848 0.4126
Ag1 Ag 0.0000 0.5000 0.5000
Ag2 Ag 0.5000 0.0000 0.0000
Ag3 Ag 0.5879 0.4121 0.2500
Ag4 Ag 0.4121 0.5879 0.7500
```

Output
ΔH_f (0 K) ... -0.16 eV/atom
Space group ... C2/c, No. 15
Final energy ... -80.484 eV for the cell shown
Magnetization ... 0.00 Bohr magnetons per cell

Material: Ho4In2Ag3
Method: DFT, PBE
State: relaxed

Geometry as CIF:
```
data_Ho4In2Ag3
_chemical_formula_sum 'Ho4 In2 Ag3'
_cell_length_a 4.9005
_cell_length_b 5.6056
_cell_length_c 9.1543
_cell_angle_alpha 76.51
_cell_angle_beta 90.00
_cell_angle_gamma 64.08
_space_group_name_H-M_alt 'P 1'
_space_group_IT_number 1
loop_
_space_group_symop_operation_xyz
'x,y,z'
loop_
_atom_site_label
_atom_site_type_symbol
_atom_site_fract_x
_atom_site_fract_y
_atom_site_fract_z
Ho1 Ho 0.6381 0.7238 0.8951
Ho2 Ho 0.0589 0.8822 0.3459
Ho3 Ho 0.9411 0.1178 0.6541
Ho4 Ho 0.3619 0.2762 0.1049
In1 In 0.2715 0.4570 0.7364
In2 In 0.7285 0.5430 0.2636
Ag1 Ag 0.3624 0.2752 0.4332
Ag2 Ag 0.0000 0.0000 0.0000
Ag3 Ag 0.6376 0.7248 0.5668
```

Output
ΔH_f (0 K) ... -0.32 eV/atom
Space group ... C2/m, No. 12
Final energy ... -35.264 eV for the cell shown
Magnetization ... 0.00 Bohr magnetons per cell

Material: Ho5In2Ag
Method: DFT, PBE
State: relaxed

Geometry as CIF:
```
data_Ho5In2Ag
_chemical_formula_sum 'Ho5 In2 Ag1'
_cell_length_a 6.8697
_cell_length_b 6.8699
_cell_length_c 6.6255
_cell_angle_alpha 121.22
_cell_angle_beta 121.22
_cell_angle_gamma 89.98
_space_group_name_H-M_alt 'P 1'
_space_group_IT_number 1
loop_
_space_group_symop_operation_xyz
'x,y,z'
loop_
_atom_site_label
_atom_site_type_symbol
_atom_site_fract_x
_atom_site_fract_y
_atom_site_fract_z
Ho1 Ho 0.7221 0.2222 0.9443
Ho2 Ho 0.2222 0.2222 0.9443
Ho3 Ho 0.7221 0.7221 0.9443
Ho4 Ho 0.2222 0.7221 0.9443
Ho5 Ho 0.7222 0.7223 0.4445
In1 In 0.2222 0.7222 0.4444
In2 In 0.7222 0.2222 0.4444
Ag1 Ag 0.2217 0.2217 0.4434
```

Output
ΔH_f (0 K) ... -0.25 eV/atom
Space group ... I4/mmm, No. 139
Final energy ... -33.248 eV for the cell shown
Magnetization ... 0.00 Bohr magnetons per cell